# 1
A relaxed Tb3Dy2Y6Ho crystal, computed with PBE-GGA.

a b c (Å): 6.163 6.163 11.798
angles (deg): 94.98 94.98 119.95
Positions (direct):
Y 0.917 0.583 0.751
Y 0.250 0.250 0.751
Y 0.583 0.917 0.751
Y 0.417 0.083 0.249
Y 0.750 0.750 0.249
Y 0.083 0.417 0.249
Dy 0.667 0.333 0.000
Dy 0.333 0.667 0.000
Tb 0.833 0.167 0.500
Tb 0.500 0.500 0.500
Tb 0.167 0.833 0.500
Ho 0.000 0.000 0.000

- formation energy from the elements (eV per atom) = 0.020
- final energy (eV/atom) = -5.52

# 2
A relaxed Tb3DyY6Ho2 crystal, computed with PBE-GGA.

a b c (Å): 6.160 6.160 11.791
angles (deg): 94.98 94.98 119.94
Positions (direct):
Y 0.750 0.750 0.249
Y 0.250 0.250 0.751
Y 0.417 0.083 0.249
Y 0.583 0.917 0.751
Y 0.083 0.417 0.249
Y 0.917 0.583 0.751
Tb 0.500 0.500 0.500
Tb 0.167 0.833 0.500
Tb 0.833 0.167 0.500
Ho 0.667 0.333 0.000
Ho 0.333 0.667 0.000
Dy 0.000 0.000 0.000

- formation energy from the elements (eV per atom) = 0.021
- final energy (eV/atom) = -5.52

# 3
A relaxed Tb2Dy2YHo4 crystal, computed with PBE-GGA.

a b c (Å): 3.574 9.454 9.494
angles (deg): 115.26 90.00 100.90
Positions (direct):
Tb 0.148 0.296 0.666
Tb 0.852 0.704 0.334
Y 0.000 0.000 0.000
Dy 0.333 0.666 0.000
Dy 0.667 0.334 0.000
Ho 0.185 0.371 0.334
Ho 0.815 0.629 0.666
Ho 0.481 0.962 0.665
Ho 0.519 0.038 0.335

- formation energy from the elements (eV per atom) = 0.001
- final energy (eV/atom) = -4.80

# 4
A relaxed TbDy3YHo crystal, computed with PBE-GGA.

a b c (Å): 5.698 10.110 6.984
angles (deg): 90.36 90.00 106.37
Positions (direct):
Ho 0.352 0.704 0.535
Ho 0.648 0.296 0.465
Dy 0.782 0.564 0.750
Dy 0.836 0.672 0.256
Dy 0.480 0.960 0.254
Dy 0.520 0.040 0.746
Dy 0.164 0.328 0.744
Dy 0.218 0.436 0.250
Tb 0.948 0.897 0.745
Tb 0.052 0.103 0.255
Y 0.352 0.705 0.970
Y 0.648 0.295 0.030

- formation energy from the elements (eV per atom) = 0.215
- final energy (eV/atom) = -4.70

# 5
A relaxed Tb2DyY2Ho2 crystal, computed with PBE-GGA.

a b c (Å): 5.658 5.658 8.761
angles (deg): 71.16 71.16 60.00
Positions (direct):
Ho 0.571 0.571 0.287
Ho 0.429 0.429 0.713
Tb 0.714 0.714 0.857
Tb 0.286 0.286 0.143
Y 0.142 0.142 0.574
Y 0.858 0.858 0.426
Dy 0.000 0.000 0.000

- formation energy from the elements (eV per atom) = 0.140
- final energy (eV/atom) = -5.00

# 6
A relaxed TbDy2Y6Ho3 crystal, computed with PBE-GGA.

a b c (Å): 6.152 6.152 11.781
angles (deg): 94.97 94.97 119.94
Positions (direct):
Y 0.750 0.750 0.251
Y 0.417 0.084 0.251
Y 0.084 0.417 0.251
Y 0.916 0.583 0.749
Y 0.250 0.250 0.749
Y 0.583 0.916 0.749
Dy 0.667 0.333 0.000
Dy 0.333 0.667 0.000
Ho 0.167 0.833 0.500
Ho 0.500 0.500 0.500
Ho 0.833 0.167 0.500
Tb 0.000 0.000 0.000

- formation energy from the elements (eV per atom) = 0.022
- final energy (eV/atom) = -5.51

# 7
A relaxed TbDyY2Ho crystal, computed with PBE-GGA.

a b c (Å): 6.376 6.374 8.887
angles (deg): 111.01 90.00 90.00
Positions (direct):
Y 0.500 0.750 0.000
Y 0.000 0.750 0.000
Y 0.000 0.250 0.000
Y 0.500 0.250 0.000
Dy 0.750 0.343 0.685
Dy 0.250 0.657 0.315
Tb 0.750 0.158 0.316
Tb 0.250 0.842 0.684
Ho 0.750 0.750 0.500
Ho 0.250 0.250 0.500

- formation energy from the elements (eV per atom) = 0.383
- final energy (eV/atom) = -4.96

# 8
A relaxed TbDyYHo3 crystal, computed with PBE-GGA.

a b c (Å): 5.697 9.845 7.156
angles (deg): 90.38 90.00 106.82
Positions (direct):
Dy 0.352 0.704 0.539
Dy 0.648 0.296 0.461
Ho 0.522 0.045 0.745
Ho 0.167 0.333 0.746
Ho 0.833 0.667 0.254
Ho 0.217 0.435 0.250
Ho 0.783 0.565 0.750
Ho 0.478 0.955 0.255
Tb 0.955 0.910 0.748
Tb 0.045 0.090 0.252
Y 0.648 0.295 0.036
Y 0.352 0.705 0.964

- formation energy from the elements (eV per atom) = 0.217
- final energy (eV/atom) = -4.69

# 9
A relaxed Tb3Dy6Y2Ho crystal, computed with PBE-GGA.

a b c (Å): 6.147 6.147 11.766
angles (deg): 94.97 94.97 119.95
Positions (direct):
Dy 0.751 0.751 0.250
Dy 0.584 0.916 0.750
Dy 0.249 0.249 0.750
Dy 0.084 0.416 0.250
Dy 0.416 0.084 0.250
Dy 0.916 0.584 0.750
Tb 0.833 0.167 0.500
Tb 0.500 0.500 0.500
Tb 0.167 0.833 0.500
Ho 0.000 0.000 0.000
Y 0.333 0.667 0.000
Y 0.667 0.333 0.000

- formation energy from the elements (eV per atom) = 0.017
- final energy (eV/atom) = -4.90

# 10
A relaxed TbDy2YHo2 crystal, computed with PBE-GGA.

a b c (Å): 5.598 9.661 6.982
angles (deg): 90.00 90.00 90.00
Positions (direct):
Tb 0.000 0.000 0.000
Tb 0.500 0.500 0.500
Y 0.000 0.000 0.500
Y 0.500 0.500 0.000
Dy 0.000 0.666 0.250
Dy 0.500 0.834 0.750
Dy 0.000 0.334 0.750
Dy 0.500 0.166 0.250
Ho 0.000 0.333 0.250
Ho 0.000 0.667 0.750
Ho 0.500 0.833 0.250
Ho 0.500 0.167 0.750

- formation energy from the elements (eV per atom) = 0.070
- final energy (eV/atom) = -4.84

# 11
A relaxed Tb5Dy2YHo crystal, computed with PBE-GGA.

a b c (Å): 5.599 10.360 10.542
angles (deg): 90.00 90.00 105.68
Positions (direct):
Tb 0.720 0.440 0.810
Tb 0.388 0.776 0.023
Tb 0.017 0.034 0.022
Tb 0.521 0.041 0.240
Tb 0.479 0.959 0.740
Tb 0.983 0.966 0.522
Tb 0.700 0.401 0.208
Tb 0.280 0.560 0.310
Tb 0.300 0.599 0.708
Tb 0.612 0.224 0.523
Dy 0.889 0.778 0.237
Dy 0.114 0.227 0.316
Dy 0.886 0.773 0.816
Dy 0.111 0.222 0.737
Ho 0.199 0.399 0.012
Ho 0.801 0.601 0.512
Y 0.588 0.177 0.957
Y 0.412 0.823 0.457

- formation energy from the elements (eV per atom) = 0.157
- final energy (eV/atom) = -4.67

# 12
A relaxed Tb2DyYHo2 crystal, computed with PBE-GGA.

a b c (Å): 3.373 6.542 17.694
angles (deg): 90.00 90.00 90.00
Positions (direct):
Tb 0.500 0.730 0.685
Tb 0.000 0.770 0.185
Tb 0.000 0.230 0.815
Tb 0.500 0.270 0.315
Ho 0.000 0.272 0.148
Ho 0.500 0.228 0.648
Ho 0.000 0.728 0.852
Ho 0.500 0.772 0.352
Dy 0.000 0.000 0.500
Dy 0.500 0.500 0.000
Y 0.000 0.000 0.000
Y 0.500 0.500 0.500

- formation energy from the elements (eV per atom) = 0.275
- final energy (eV/atom) = -4.64

# 13
A relaxed Tb2DyY4Ho2 crystal, computed with PBE-GGA.

a b c (Å): 3.586 9.492 9.532
angles (deg): 115.28 90.00 100.89
Positions (direct):
Y 0.519 0.037 0.334
Y 0.481 0.963 0.666
Y 0.815 0.629 0.667
Y 0.185 0.371 0.333
Ho 0.667 0.334 0.999
Ho 0.333 0.666 0.001
Tb 0.149 0.297 0.667
Tb 0.851 0.703 0.333
Dy 0.000 0.000 0.000

- formation energy from the elements (eV per atom) = 0.002
- final energy (eV/atom) = -5.43

# 14
A relaxed TbDy2Y2Ho4 crystal, computed with PBE-GGA.

a b c (Å): 6.699 9.753 6.672
angles (deg): 121.00 126.51 59.20
Positions (direct):
Tb 0.000 0.000 0.000
Dy 0.182 0.556 0.962
Dy 0.818 0.444 0.038
Ho 0.730 0.880 0.187
Ho 0.383 0.236 0.494
Ho 0.270 0.120 0.813
Ho 0.617 0.764 0.506
Y 0.267 0.660 0.597
Y 0.733 0.340 0.403

- formation energy from the elements (eV per atom) = 0.089
- final energy (eV/atom) = -4.92

# 15
A relaxed TbDy6YHo2 crystal, computed with PBE-GGA.

a b c (Å): 9.537 8.767 8.767
angles (deg): 118.17 93.89 93.89
Positions (direct):
Tb 0.750 0.591 0.409
Tb 0.250 0.409 0.591
Dy 0.685 0.021 0.570
Dy 0.444 0.249 0.875
Dy 0.556 0.751 0.125
Dy 0.120 0.710 0.498
Dy 0.620 0.498 0.710
Dy 0.880 0.290 0.502
Dy 0.944 0.875 0.249
Dy 0.056 0.125 0.751
Dy 0.380 0.502 0.290
Dy 0.185 0.570 0.021
Dy 0.815 0.430 0.979
Dy 0.315 0.979 0.430
Y 0.750 0.023 0.977
Y 0.250 0.977 0.023
Ho 0.044 0.303 0.196
Ho 0.544 0.196 0.303
Ho 0.956 0.697 0.804
Ho 0.456 0.804 0.697

- formation energy from the elements (eV per atom) = 0.119
- final energy (eV/atom) = -4.67

# 16
A relaxed Tb4DyY2Ho2 crystal, computed with PBE-GGA.

a b c (Å): 3.585 9.485 9.526
angles (deg): 115.25 90.00 100.89
Positions (direct):
Ho 0.333 0.666 0.999
Ho 0.667 0.334 0.001
Y 0.148 0.296 0.667
Y 0.852 0.704 0.333
Tb 0.518 0.037 0.333
Tb 0.815 0.630 0.667
Tb 0.185 0.370 0.333
Tb 0.482 0.963 0.667
Dy 0.000 0.000 0.000

- formation energy from the elements (eV per atom) = 0.003
- final energy (eV/atom) = -5.02

# 17
A relaxed TbDy2Y6Ho crystal, computed with PBE-GGA.

a b c (Å): 9.618 8.768 8.768
angles (deg): 117.61 94.35 94.35
Positions (direct):
Y 0.556 0.752 0.122
Y 0.684 0.017 0.570
Y 0.316 0.983 0.430
Y 0.382 0.505 0.293
Y 0.618 0.495 0.707
Y 0.816 0.430 0.983
Y 0.944 0.878 0.248
Y 0.184 0.570 0.017
Y 0.444 0.248 0.878
Y 0.056 0.122 0.752
Y 0.118 0.707 0.495
Y 0.882 0.293 0.505
Dy 0.046 0.298 0.196
Dy 0.546 0.196 0.298
Dy 0.954 0.702 0.804
Dy 0.454 0.804 0.702
Ho 0.250 0.409 0.591
Ho 0.750 0.591 0.409
Tb 0.750 0.023 0.977
Tb 0.250 0.977 0.023

- formation energy from the elements (eV per atom) = 0.118
- final energy (eV/atom) = -5.60

# 18
A relaxed Tb6Dy2YHo crystal, computed with PBE-GGA.

a b c (Å): 9.558 8.796 8.796
angles (deg): 118.22 93.90 93.90
Positions (direct):
Tb 0.055 0.125 0.752
Tb 0.880 0.290 0.502
Tb 0.945 0.875 0.248
Tb 0.120 0.710 0.498
Tb 0.314 0.981 0.430
Tb 0.686 0.019 0.570
Tb 0.555 0.752 0.125
Tb 0.445 0.248 0.875
Tb 0.814 0.430 0.981
Tb 0.380 0.502 0.290
Tb 0.186 0.570 0.019
Tb 0.620 0.498 0.710
Y 0.750 0.023 0.977
Y 0.250 0.977 0.023
Dy 0.544 0.197 0.304
Dy 0.456 0.803 0.696
Dy 0.956 0.696 0.803
Dy 0.044 0.304 0.197
Ho 0.250 0.409 0.591
Ho 0.750 0.591 0.409

- formation energy from the elements (eV per atom) = 0.116
- final energy (eV/atom) = -4.69

# 19
A relaxed TbDyY6Ho2 crystal, computed with PBE-GGA.

a b c (Å): 9.606 8.764 8.764
angles (deg): 117.52 94.27 94.27
Positions (direct):
Y 0.618 0.494 0.707
Y 0.118 0.707 0.494
Y 0.556 0.753 0.122
Y 0.816 0.430 0.983
Y 0.316 0.983 0.430
Y 0.944 0.878 0.247
Y 0.882 0.293 0.506
Y 0.382 0.506 0.293
Y 0.684 0.017 0.570
Y 0.056 0.122 0.753
Y 0.184 0.570 0.017
Y 0.444 0.247 0.878
Dy 0.750 0.591 0.409
Dy 0.250 0.409 0.591
Ho 0.954 0.702 0.804
Ho 0.046 0.298 0.196
Ho 0.454 0.804 0.702
Ho 0.546 0.196 0.298
Tb 0.250 0.976 0.024
Tb 0.750 0.024 0.976

- formation energy from the elements (eV per atom) = 0.119
- final energy (eV/atom) = -5.60

# 20
A relaxed Tb2Dy6Y3Ho crystal, computed with PBE-GGA.

a b c (Å): 6.148 6.148 11.769
angles (deg): 94.97 94.97 119.95
Positions (direct):
Y 0.833 0.167 0.500
Y 0.500 0.500 0.500
Y 0.167 0.833 0.500
Dy 0.583 0.916 0.751
Dy 0.417 0.084 0.249
Dy 0.084 0.417 0.249
Dy 0.750 0.750 0.249
Dy 0.250 0.250 0.751
Dy 0.916 0.583 0.751
Ho 0.000 0.000 0.000
Tb 0.667 0.333 0.000
Tb 0.333 0.667 0.000

- formation energy from the elements (eV per atom) = 0.018
- final energy (eV/atom) = -5.05